1.
Below is CdPdPb after structural relaxation, with properties calculated at the PBE level.

Properties
Energy of formation, eV per atom: -0.177

a b c (Å): 3.3785 3.3785 6.3152
angles (deg): 105.52 105.52 90.00
Sites, in units of the cell vectors:
Pb: 0.0197 0.0197 0.0393
Pd: 0.6737 0.6737 0.3475
Cd: 0.3066 0.3066 0.6132

---

2.
Below is Cd4Pd5Pb after structural relaxation, with properties calculated at the PBE level.

Properties
Energy of formation, eV per atom: -0.350

a b c (Å): 3.3371 3.3371 16.3142
angles (deg): 90.00 90.00 90.00
Sites, in units of the cell vectors:
Cd: 0.0000 0.0000 0.2096
Cd: 0.0000 0.0000 0.4034
Cd: 0.0000 0.0000 0.5966
Cd: 0.0000 0.0000 0.7904
Pd: 0.5000 0.5000 0.1126
Pd: 0.5000 0.5000 0.3071
Pd: 0.5000 0.5000 0.5000
Pd: 0.5000 0.5000 0.6929
Pd: 0.5000 0.5000 0.8874
Pb: 0.0000 0.0000 0.0000

---

3.
Below is CdPdPb after structural relaxation, with properties calculated at the PBE level.

Properties
Energy of formation, eV per atom: -0.201

a b c (Å): 3.7950 5.8487 6.9631
angles (deg): 114.37 105.81 90.00
Sites, in units of the cell vectors:
Cd: 0.7230 0.3389 0.0752
Cd: 0.7214 0.8507 0.0720
Pd: 0.0992 0.4709 0.8276
Pd: 0.3452 0.7186 0.3197
Pb: 0.0230 0.8956 0.6752
Pb: 0.4215 0.2940 0.4721

---

4.
Below is CdPd4Pb after structural relaxation, with properties calculated at the PBE level.

Properties
Energy of formation, eV per atom: -0.150

a b c (Å): 5.4041 5.4041 5.4041
angles (deg): 60.00 60.00 60.00
Sites, in units of the cell vectors:
Pb: 0.2500 0.2500 0.2500
Pd: 0.6252 0.6252 0.1245
Pd: 0.6252 0.1245 0.6252
Pd: 0.6252 0.6252 0.6252
Pd: 0.1245 0.6252 0.6252
Cd: 0.0000 0.0000 0.0000

---

5.
Below is Cd2PdPb after structural relaxation, with properties calculated at the PBE level.

Properties
Energy of formation, eV per atom: -0.153

a b c (Å): 3.2820 3.2820 8.3602
angles (deg): 90.00 90.00 90.00
Sites, in units of the cell vectors:
Pb: 0.5000 0.5000 0.5000
Pd: 0.5000 0.5000 0.0000
Cd: 0.0000 0.0000 0.8031
Cd: 0.0000 0.0000 0.1969

---

6.
Below is Cd2PdPb after structural relaxation, with properties calculated at the PBE level.

Properties
Energy of formation, eV per atom: -0.064

a b c (Å): 4.5151 4.3753 4.3753
angles (deg): 90.00 90.00 90.00
Sites, in units of the cell vectors:
Pb: 0.5000 0.0000 0.0000
Pd: 0.5000 0.5000 0.5000
Cd: 0.0000 0.0000 0.5000
Cd: 0.0000 0.5000 0.0000

---

- energy of formation of number 4 (CdPd4Pb)?
  -0.150 eV per atom